DFT (PBE) results for a relaxed structure of LiCo2.

Properties
- ΔH_f (0 K) (eV per atom) = 0.9183

Cell: 5.2053 5.2053 5.2053 Å, 90.00 90.00 90.00°
Last column: magnetic moment on the atom in μB.
Positions (direct):
Co 0.6278 0.6278 0.3722  1.72
Co 0.3722 0.3722 0.6278  1.72
Co 0.1278 0.8722 0.6278  1.72
Co 0.8722 0.1278 0.3722  1.72
Co 0.3722 0.1278 0.1278  1.72
Co 0.6278 0.8722 0.8722  1.72
Co 0.8722 0.3722 0.8722  1.72
Co 0.1278 0.6278 0.1278  1.72
Li 0.0000 0.0000 0.0000  -0.07
Li 0.5000 0.5000 0.0000  -0.07
Li 0.5000 0.0000 0.5000  -0.07
Li 0.0000 0.5000 0.5000  -0.07

DFT (PBE) results for a relaxed structure of LiCo2.

Properties
- ΔH_f (0 K) (eV per atom) = 0.5173

Cell: 3.1779 3.1779 4.4558 Å, 90.00 90.00 90.00°
Last column: magnetic moment on the atom in μB.
Positions (direct):
Co 0.0000 0.5000 0.5000  1.65
Co 0.5000 0.0000 0.5000  1.65
Li 0.0000 0.0000 0.0000  -0.04

DFT (PBE) results for a relaxed structure of LiCo2.

Properties
- ΔH_f (0 K) (eV per atom) = 0.8812

Cell: 3.7223 3.7223 3.7223 Å, 60.00 60.00 60.00°
Last column: magnetic moment on the atom in μB.
Positions (direct):
Co 0.7500 0.7500 0.7500  1.67
Co 0.2500 0.2500 0.2500  1.67
Li 0.0000 0.0000 0.0000  -0.07

DFT (PBE) results for a relaxed structure of LiCo3.

Properties
- ΔH_f (0 K) (eV per atom) = 0.2105

Cell: 2.8192 2.8192 5.5808 Å, 90.00 90.00 90.00°
Last column: magnetic moment on the atom in μB.
Positions (direct):
Co 0.0000 0.0000 0.0067  1.51
Co 0.5000 0.5000 0.2500  1.84
Co 0.0000 0.0000 0.4933  1.51
Li 0.5000 0.5000 0.7500  -0.06